## one
DFT (PBEsol) results for a geometry-optimized CaTlPb structure.

Properties
SG: Cm

Lattice parameters (Å, degrees): 4.0184 4.0184 6.0663 109.26 109.26 89.97
Last column: nearest neighbours and their distance in Å.
Atoms (fractional coordinates):
1 Ca 0.0000 0.0000 0.0000  5 Tl 3.40-3.50, 5 Pb 3.43-3.44
2 Tl 0.3267 0.3267 0.6528  4 Pb 3.24-3.25, 5 Ca 3.40-3.50
3 Pb 0.6798 0.6798 0.3608  4 Tl 3.24-3.25, 5 Ca 3.43-3.44

## two
DFT (PBEsol) results for a geometry-optimized CaTlPb structure.

Properties
SG: Imm2

Lattice parameters (Å, degrees): 5.9596 5.9596 5.9596 143.14 136.52 58.29
Last column: nearest neighbours and their distance in Å.
Atoms (fractional coordinates):
1 Ca 0.0000 0.0000 0.0000  5 Pb 3.37-3.43, 5 Tl 3.41, 2 Ca 3.77
2 Tl 0.3277 0.3277 0.0000  5 Pb 3.30-3.63, 5 Ca 3.41
3 Pb 0.6764 0.6764 0.0000  5 Tl 3.30-3.63, 5 Ca 3.37-3.43

two is favored, and the nearest alternative lies 7 meV/atom above it.

## one
DFT (PBEsol) results for a geometry-optimized CaPb2W structure.

Properties
SG: P4/mmm

Lattice parameters (Å, degrees): 4.7902 4.7902 3.9356 90.00 90.00 90.00
Last column: nearest neighbours and their distance in Å.
Atoms (fractional coordinates):
1 Ca 0.0000 0.0000 0.0000  8 Pb 3.10, 4 W 3.39
2 Pb 0.0000 0.5000 0.5000  4 Ca 3.10, 4 W 3.10, 4 Pb 3.39
3 Pb 0.5000 0.0000 0.5000  4 Ca 3.10, 4 W 3.10, 4 Pb 3.39
4 W 0.5000 0.5000 0.0000  8 Pb 3.10, 4 Ca 3.39

## two
DFT (PBEsol) results for a geometry-optimized CaPb2W structure.

Properties
SG: Cm

Lattice parameters (Å, degrees): 5.8943 5.8943 5.2329 96.88 96.88 30.87
Last column: nearest neighbours and their distance in Å.
Atoms (fractional coordinates):
1 Ca 0.0000 0.0000 0.0000  7 Pb 3.02-3.38, 2 Ca 3.14, 2 W 3.30
2 Pb 0.2437 0.2437 0.7829  4 W 3.03-3.07, 3 Ca 3.12-3.38, 3 Pb 3.14-3.19
3 Pb 0.4709 0.4709 0.4815  4 Ca 3.02-3.12, 3 Pb 3.14-3.19, 3 W 3.15-3.34
4 W 0.7375 0.7375 0.2760  7 Pb 3.03-3.34, 2 W 3.14, 2 Ca 3.30

two is favored, and the nearest alternative lies 30 meV/atom above it.